Entry 1:
# DyGa2CoRu, relaxed, DFT PBE-GGA
data_DyGa2CoRu
_chemical_formula_sum 'Dy1 Ga2 Co1 Ru1'
_symmetry_space_group_name_H-M 'P 1'
_symmetry_Int_Tables_number 1
_cell_length_a 4.243
_cell_length_b 4.243
_cell_length_c 5.666
_cell_angle_alpha 111.99
_cell_angle_beta 111.99
_cell_angle_gamma 90.00
loop_
_symmetry_equiv_pos_as_xyz
'x,y,z'
loop_
_atom_site_label
_atom_site_fract_x
_atom_site_fract_y
_atom_site_fract_z
Dy1 0.000 0.000 0.000
Ga1 0.632 0.632 0.264
Ga2 0.368 0.368 0.736
Co1 0.750 0.250 0.500
Ru1 0.250 0.750 0.500
# Space group: I-4m2 (119)
# Total DFT energy (no corrections), eV per atom: -5.81
# Calculated volume, Å³/atom: 17.30
# Energy relative to the elements, eV per atom: -0.40

Entry 2:
# Dy2Ga5CoRu2, relaxed, DFT PBE-GGA
data_Dy2Ga5CoRu2
_chemical_formula_sum 'Dy4 Ga10 Co2 Ru4'
_symmetry_space_group_name_H-M 'P 1'
_symmetry_Int_Tables_number 1
_cell_length_a 3.149
_cell_length_b 10.414
_cell_length_c 10.414
_cell_angle_alpha 90.00
_cell_angle_beta 90.00
_cell_angle_gamma 90.00
loop_
_symmetry_equiv_pos_as_xyz
'x,y,z'
loop_
_atom_site_label
_atom_site_fract_x
_atom_site_fract_y
_atom_site_fract_z
Dy1 0.000 0.680 0.180
Dy2 0.000 0.320 0.820
Dy3 0.000 0.180 0.320
Dy4 0.000 0.820 0.680
Ga1 0.500 0.184 0.054
Ga2 0.500 0.816 0.946
Ga3 0.500 0.054 0.816
Ga4 0.500 0.684 0.446
Ga5 0.500 0.946 0.184
Ga6 0.500 0.316 0.554
Ga7 0.500 0.554 0.684
Ga8 0.500 0.446 0.316
Ga9 0.500 0.500 0.000
Ga10 0.500 0.000 0.500
Co1 0.000 0.000 0.000
Co2 0.000 0.500 0.500
Ru1 0.000 0.131 0.631
Ru2 0.000 0.869 0.369
Ru3 0.000 0.631 0.869
Ru4 0.000 0.369 0.131
# Space group: P4/mbm (127)
# Total DFT energy (no corrections), eV per atom: -5.36
# Calculated volume, Å³/atom: 17.08
# Energy relative to the elements, eV per atom: -0.36

Entry 3:
# DyGa3CoRu, relaxed, DFT PBE-GGA
data_DyGa3CoRu
_chemical_formula_sum 'Dy2 Ga6 Co2 Ru2'
_symmetry_space_group_name_H-M 'P 1'
_symmetry_Int_Tables_number 1
_cell_length_a 5.565
_cell_length_b 7.682
_cell_length_c 6.468
_cell_angle_alpha 126.43
_cell_angle_beta 90.00
_cell_angle_gamma 90.00
loop_
_symmetry_equiv_pos_as_xyz
'x,y,z'
loop_
_atom_site_label
_atom_site_fract_x
_atom_site_fract_y
_atom_site_fract_z
Dy1 0.750 0.289 0.579
Dy2 0.250 0.711 0.421
Ga1 0.250 0.188 0.376
Ga2 0.000 0.250 0.000
Ga3 0.500 0.750 0.000
Ga4 0.500 0.250 0.000
Ga5 0.000 0.750 0.000
Ga6 0.750 0.812 0.624
Co1 0.250 0.967 0.934
Co2 0.750 0.033 0.066
Ru1 0.250 0.419 0.838
Ru2 0.750 0.581 0.162
# Space group: Cmcm (63)
# Total DFT energy (no corrections), eV per atom: -5.31
# Calculated volume, Å³/atom: 18.54
# Energy relative to the elements, eV per atom: -0.30